Entry 1:
A plane-wave DFT calculation with PBE was carried out for a relaxed structure of V4Si2Tc.

```
7
Lattice="-1.102 1.526 3.970 -2.077 -3.772 0.873 3.890 -3.570 4.883" Properties=species:S:1:pos:R:3 pbc="T T T"
V -1.153 -3.151 5.754
V -1.039 -1.886 0.437
V -0.551 0.763 1.985
Tc 0.000 0.000 0.000
V 1.864 -2.666 3.973
Si -0.225 -1.733 3.035
Si 0.935 -4.084 6.692
```

Its spin magnetization is 3.19 μB/cell. Its space group is I4/mmm, No. 139. For the electronic total energy, the calculation gives -7.4301 eV/atom.

Entry 2:
A plane-wave DFT calculation with PBE was carried out for a relaxed structure of V6SiTc.

```
8
Lattice="-1.131 5.650 3.458 -5.636 0.665 3.600 -0.990 1.021 4.533" Properties=species:S:1:pos:R:3 pbc="T T T"
V -3.065 0.590 2.937
Si 0.000 0.000 0.000
V -6.166 2.329 5.599
V -1.591 5.008 5.992
V -5.538 4.090 7.828
V -4.692 6.746 8.655
V -2.219 3.246 3.763
Tc -3.879 3.668 5.796
```

Its spin magnetization is 0.00 μB/cell. Its space group is Pm-3, No. 200. For the electronic total energy, the calculation gives -9.1322 eV/atom.

Entry 3:
A plane-wave DFT calculation with PBE was carried out for a relaxed structure of V2SiTc.

```
8
Lattice="-5.373 -2.646 3.095 4.000 -4.391 3.190 -0.397 -1.854 5.069" Properties=species:S:1:pos:R:3 pbc="T T T"
Si 1.458 -4.882 5.701
V -1.492 -7.556 9.307
Tc -3.228 -4.009 5.653
V 1.738 -3.534 3.642
V -0.820 -4.022 6.153
Tc 0.000 0.000 0.000
Si -0.687 -3.518 3.142
V -2.967 -2.671 3.606
```

Its spin magnetization is 0.00 μB/cell. Its space group is I-42d, No. 122. For the electronic total energy, the calculation gives -8.2046 eV/atom.

Entry 4:
A plane-wave DFT calculation with PBE was carried out for a relaxed structure of V2SiTc.

```
4
Lattice="3.164 0.000 0.000 0.000 3.164 0.000 0.000 0.000 5.379" Properties=species:S:1:pos:R:3 pbc="T T T"
V 0.000 0.000 4.120
V 0.000 0.000 1.259
Si 1.582 1.582 0.000
Tc 1.582 1.582 2.690
```

Its spin magnetization is 0.00 μB/cell. Its space group is P4/mmm, No. 123. For the electronic total energy, the calculation gives -8.8434 eV/atom.

Entry 5:
A plane-wave DFT calculation with PBE was carried out for a relaxed structure of VSiTc2.

```
4
Lattice="-2.516 -0.855 1.497 1.283 -3.995 -0.125 1.996 0.526 3.655" Properties=species:S:1:pos:R:3 pbc="T T T"
Tc 0.998 0.263 1.828
Tc 0.641 -1.998 -0.063
Si 0.381 -2.162 2.513
V -1.258 -0.427 0.748
```

Its spin magnetization is 0.00 μB/cell. Its space group is P4/mmm, No. 123. For the electronic total energy, the calculation gives -9.2747 eV/atom.

Entry 6:
A plane-wave DFT calculation with PBE was carried out for a relaxed structure of VSi4Tc.

```
6
Lattice="-1.196 -0.553 2.862 -2.591 -1.777 -3.161 4.901 -3.815 1.310" Properties=species:S:1:pos:R:3 pbc="T T T"
Si 1.757 -4.776 -1.057
V -1.894 -1.165 -0.149
Tc 0.557 -3.072 0.506
Si -0.750 -2.791 -1.720
Si 1.864 -3.354 2.732
Si -0.643 -1.369 2.068
```

Its spin magnetization is 0.00 μB/cell. Its space group is C2/m, No. 12. For the electronic total energy, the calculation gives -7.3723 eV/atom.

Entry 7:
A plane-wave DFT calculation with PBE was carried out for a relaxed structure of V2SiTc2.

```
10
Lattice="-2.162 -1.115 -3.383 1.573 -5.212 0.712 -4.158 0.846 4.944" Properties=species:S:1:pos:R:3 pbc="T T T"
Tc -2.828 -4.092 3.155
Tc -1.132 -3.996 -0.527
V -1.977 -0.206 1.331
Tc -1.918 -1.389 -0.881
V -3.555 -2.669 0.586
V -1.191 -2.812 1.687
Si 1.180 -3.909 0.533
Si -1.768 -2.418 -3.204
V -2.769 -5.275 0.942
Tc -3.614 -1.485 2.800
```

Its spin magnetization is 0.00 μB/cell. Its space group is C2/m, No. 12. For the electronic total energy, the calculation gives -9.1802 eV/atom.

Entry 8:
A plane-wave DFT calculation with PBE was carried out for a relaxed structure of VSiTcW.

```
4
Lattice="-3.566 -2.382 0.347 0.229 -4.281 -0.366 -0.596 -2.490 3.458" Properties=species:S:1:pos:R:3 pbc="T T T"
Si 0.000 0.000 0.000
V -2.949 -6.864 2.579
W -1.966 -4.576 1.720
Tc -0.983 -2.288 0.860
```

Its spin magnetization is 0.42 μB/cell. Its space group is F-43m, No. 216. For the electronic total energy, the calculation gives -9.6451 eV/atom.

Entry 9:
A plane-wave DFT calculation with PBE was carried out for a relaxed structure of VZnSi2Tc.

```
5
Lattice="4.348 0.000 0.000 0.000 4.451 0.000 0.000 0.000 4.348" Properties=species:S:1:pos:R:3 pbc="T T T"
V 0.000 2.226 0.000
Si 2.174 0.000 0.000
Si 0.000 0.000 2.174
Tc 2.174 2.226 2.174
Zn 0.000 0.000 0.000
```

Its spin magnetization is 0.46 μB/cell. Its space group is P4/mmm, No. 123. The energy relative to the lowest polymorph listed for this composition is 339 meV per atom.

Entry 10:
A plane-wave DFT calculation with PBE was carried out for a relaxed structure of VZnSi2Tc.

```
5
Lattice="4.485 0.000 0.000 0.000 4.660 0.000 0.000 0.000 4.485" Properties=species:S:1:pos:R:3 pbc="T T T"
Si 2.243 0.000 0.000
Tc 2.243 2.330 2.243
Si 0.000 0.000 2.243
V 0.000 0.000 0.000
Zn 0.000 2.330 0.000
```

Its spin magnetization is 3.47 μB/cell. Its space group is P4/mmm, No. 123. The energy relative to the lowest polymorph listed for this composition is 0 meV per atom.

Entry 11:
A plane-wave DFT calculation with PBE was carried out for a relaxed structure of Si3TcW.

```
5
Lattice="-4.531 0.375 0.636 0.246 -2.966 3.496 0.696 3.485 2.907" Properties=species:S:1:pos:R:3 pbc="T T T"
W -1.795 0.447 3.520
Tc 0.000 0.000 0.000
Si 0.123 -1.483 1.748
Si -2.266 0.187 0.318
Si 0.348 1.742 1.454
```

Its spin magnetization is 3.89 μB/cell. Its space group is Pm-3m, No. 221. The energy relative to the lowest polymorph listed for this composition is 63 meV per atom.

Entry 12:
A plane-wave DFT calculation with PBE was carried out for a relaxed structure of Si4TcW.

```
6
Lattice="0.000 3.403 3.403 3.403 0.000 3.403 3.403 3.403 0.000" Properties=species:S:1:pos:R:3 pbc="T T T"
Si 2.553 2.553 2.553
Si 4.254 2.553 4.254
Si 4.254 4.254 2.553
W 0.000 0.000 0.000
Si 2.553 4.254 4.254
Tc 5.105 5.105 5.105
```

Its spin magnetization is 0.00 μB/cell. Its space group is F-43m, No. 216. The energy relative to the lowest polymorph listed for this composition is 850 meV per atom.